[1]
The following is a PBE-GGA calculation of a relaxed structure of PmTiSn, from the Alexandria database.

Cell: 8.2034 8.2034 6.2968 Å, 90.00 90.00 158.10°
Closest atoms and distances in Å follow each position.
Sites, in units of the cell vectors:
Pm1 0.0769 0.9231 0.5000  2 Pm 3.12, 3 Ti 3.16-3.23, 3 Sn 3.32-3.47
Pm2 0.9231 0.0769 0.0000  2 Pm 3.12, 3 Ti 3.16-3.23, 3 Sn 3.32-3.47
Ti1 0.1195 0.8805 0.9993  3 Sn 2.81-2.90, 2 Ti 3.12
Ti2 0.8805 0.1195 0.4993  3 Sn 2.81-2.90, 2 Ti 3.12
Sn1 0.2606 0.7394 0.7374  3 Ti 2.81-2.90, 2 Sn 3.12
Sn2 0.7394 0.2606 0.2374  3 Ti 2.81-2.90, 2 Sn 3.12

Properties
- energy above the most stable polymorph in this dataset (meV/atom) = 394.4
- space-group type = No. 36
- ΔH_f (0 K) (meV/atom) = 198
- DFT total energy (eV/atom) = -5.352


[2]
The following is a PBE-GGA calculation of a relaxed structure of PmTiSn, from the Alexandria database.

Cell: 3.5867 4.8605 8.7037 Å, 90.00 90.30 90.00°
Closest atoms and distances in Å follow each position.
Sites, in units of the cell vectors:
Pm1 0.0131 0.2500 0.2503  6 Ti 3.21-3.51, 5 Sn 3.26-3.47, 2 Pm 3.59
Pm2 0.9869 0.7500 0.7497  6 Ti 3.21-3.51, 5 Sn 3.26-3.47, 2 Pm 3.59
Ti1 0.4768 0.7500 0.0593  2 Ti 2.65, 1 Sn 2.96
Ti2 0.5232 0.2500 0.9407  2 Ti 2.65, 1 Sn 2.96
Sn1 0.4743 0.2500 0.6014  1 Ti 2.96, 2 Sn 3.01, 4 Pm 3.26-3.31
Sn2 0.5257 0.7500 0.3986  1 Ti 2.96, 2 Sn 3.01, 4 Pm 3.26-3.31

Properties
- energy above the most stable polymorph in this dataset (meV/atom) = 62.5
- space-group type = No. 11
- ΔH_f (0 K) (meV/atom) = -134
- DFT total energy (eV/atom) = -5.684